PaBiPd: relaxed, PBE.

Cell: 6.1039 6.1039 4.8279 Å, 90.00 90.00 130.04°
Last column: nearest neighbours and their distance in Å.
Fractional coordinates of all 6 atoms:
Pa  0.0833  0.9167  0.7500  4 Pd 2.97-3.24, 2 Pa 3.04
Pa  0.9167  0.0833  0.2500  4 Pd 2.97-3.24, 2 Pa 3.04
Bi  0.3883  0.6117  0.7500  4 Pd 2.92-2.94
Bi  0.6117  0.3883  0.2500  4 Pd 2.92-2.94
Pd  0.2399  0.7601  0.2500  4 Bi 2.92-2.94, 4 Pa 2.97-3.24
Pd  0.7601  0.2399  0.7500  4 Bi 2.92-2.94, 4 Pa 2.97-3.24

- Volume: 23.0 A^3/atom
- Formation enthalpy at 0 K: -0.28 eV per atom
- Size of the total moment: 0.76 μB/cell
- SG: Cmcm


PaBi2Pd: relaxed, PBE.

Cell: 11.1064 11.1064 11.1064 Å, 17.26 17.26 17.26°
Last column: nearest neighbours and their distance in Å.
Fractional coordinates of all 4 atoms:
Pa  0.0000  0.0000  0.0000  6 Pa 3.33, 6 Bi 3.39
Bi  0.4184  0.4184  0.4184  1 Pd 2.68
Bi  0.5816  0.5816  0.5816  1 Pd 2.68
Pd  0.5000  0.5000  0.5000  2 Bi 2.68

- Volume: 26.3 A^3/atom
- Formation enthalpy at 0 K: 0.09 eV per atom
- Size of the total moment: 0.00 μB/cell
- SG: R-3m


PaBi2Pd: relaxed, PBE.

Cell: 3.3391 3.3391 8.9231 Å, 90.00 90.00 90.00°
Last column: nearest neighbours and their distance in Å.
Fractional coordinates of all 4 atoms:
Pa  0.0000  0.0000  0.0000  4 Pa 3.34, 8 Bi 3.45
Bi  0.5000  0.5000  0.2813  4 Pd 3.06, 4 Bi 3.34
Bi  0.5000  0.5000  0.7187  4 Pd 3.06, 4 Bi 3.34
Pd  0.0000  0.0000  0.5000  8 Bi 3.06, 4 Pd 3.34

- Volume: 24.9 A^3/atom
- Formation enthalpy at 0 K: -0.01 eV per atom
- Size of the total moment: 0.02 μB/cell
- SG: P4/mmm


Pa2Bi3Pd4: relaxed, PBE.

Cell: 4.8613 4.8613 10.7468 Å, 91.63 91.63 56.07°
Last column: nearest neighbours and their distance in Å.
Fractional coordinates of all 9 atoms:
Pa  0.1556  0.1556  0.2013  6 Pd 2.95-3.24
Pa  0.8444  0.8444  0.7987  6 Pd 2.95-3.24
Bi  0.1553  0.1553  0.6248  4 Pd 2.74-2.96
Bi  0.5000  0.5000  0.0000  6 Pd 2.94-2.97
Bi  0.8447  0.8447  0.3752  4 Pd 2.74-2.96
Pd  0.1729  0.1729  0.9005  4 Bi 2.94-2.97, 4 Pa 2.95-3.24
Pd  0.4740  0.4740  0.6429  3 Bi 2.74-2.77, 2 Pa 3.06
Pd  0.5260  0.5260  0.3571  3 Bi 2.74-2.77, 2 Pa 3.06
Pd  0.8271  0.8271  0.0995  4 Bi 2.94-2.97, 4 Pa 2.95-3.24

- Volume: 23.4 A^3/atom
- Formation enthalpy at 0 K: -0.38 eV per atom
- Size of the total moment: 0.00 μB/cell
- SG: C2/m


PaBi2Pd: relaxed, PBE.

Cell: 4.8649 4.8649 4.1870 Å, 90.00 90.00 90.00°
Last column: nearest neighbours and their distance in Å.
Fractional coordinates of all 4 atoms:
Pa  0.0000  0.0000  0.0000  8 Bi 3.21, 4 Pd 3.44
Bi  0.0000  0.5000  0.5000  4 Pd 3.21, 4 Pa 3.21, 4 Bi 3.44
Bi  0.5000  0.0000  0.5000  4 Pd 3.21, 4 Pa 3.21, 4 Bi 3.44
Pd  0.5000  0.5000  0.0000  8 Bi 3.21, 4 Pa 3.44

- Volume: 24.8 A^3/atom
- Formation enthalpy at 0 K: -0.27 eV per atom
- Size of the total moment: 0.00 μB/cell
- SG: P4/mmm


PaBi3Pd12: relaxed, PBE.

Cell: 4.1449 4.1449 16.6409 Å, 90.00 90.00 90.00°
Last column: nearest neighbours and their distance in Å.
Fractional coordinates of all 16 atoms:
Pa  0.0000  0.0000  0.0000  12 Pd 2.86-2.93
Bi  0.0000  0.0000  0.2556  12 Pd 2.87-3.09
Bi  0.0000  0.0000  0.5000  12 Pd 2.93-2.94
Bi  0.0000  0.0000  0.7444  12 Pd 2.87-3.09
Pd  0.0000  0.5000  0.1182  2 Pa 2.86, 8 Pd 2.86-2.96, 2 Bi 3.09
Pd  0.0000  0.5000  0.3749  4 Bi 2.87-2.94, 8 Pd 2.93-2.99
Pd  0.0000  0.5000  0.6251  4 Bi 2.87-2.94, 8 Pd 2.93-2.99
Pd  0.0000  0.5000  0.8818  2 Pa 2.86, 8 Pd 2.86-2.96, 2 Bi 3.09
Pd  0.5000  0.0000  0.1182  2 Pa 2.86, 8 Pd 2.86-2.96, 2 Bi 3.09
Pd  0.5000  0.0000  0.3749  4 Bi 2.87-2.94, 8 Pd 2.93-2.99
Pd  0.5000  0.0000  0.6251  4 Bi 2.87-2.94, 8 Pd 2.93-2.99
Pd  0.5000  0.0000  0.8818  2 Pa 2.86, 8 Pd 2.86-2.96, 2 Bi 3.09
Pd  0.5000  0.5000  0.0000  8 Pd 2.86, 4 Pa 2.93
Pd  0.5000  0.5000  0.2453  4 Bi 2.94, 8 Pd 2.96-2.99
Pd  0.5000  0.5000  0.5000  4 Bi 2.93, 8 Pd 2.94
Pd  0.5000  0.5000  0.7547  4 Bi 2.94, 8 Pd 2.96-2.99

- Volume: 17.9 A^3/atom
- Formation enthalpy at 0 K: -0.38 eV per atom
- Size of the total moment: 0.00 μB/cell
- SG: P4/mmm